(1)
# InRuPbAu2

A geometry-optimized InRuPbAu2 structure (PBE, Alexandria).

The value obtained for the density of states at the Fermi level is 4.33 states/eV/f.u. For the mass density, the calculation gives 10.17 g/cm3. The calculation puts the electronic total energy at -17.95 eV for the cell shown. For the size of the total moment, the calculation gives 1.59 μB per formula unit.

The structure belongs to space group P4/mmm (No. 123); the cell edges are 5.1076, 5.1076 and 5.1130 Å and the angles 90.00°, 90.00° and 90.00°. The distinct sites, in fractional coordinates, are In at (0.0000, 0.0000, 0.0000), Ru at (0.0000, 0.0000, 0.5000), Pb at (0.5000, 0.5000, 0.5000) and Au at (0.0000, 0.5000, 0.0000).

(2)
# InSb2Pb3Au6

A geometry-optimized InSb2Pb3Au6 structure (PBE, Alexandria).

The value obtained for the density of states at the Fermi level is 5.39 states/eV/f.u. The value obtained for the formation energy without anion corrections is -0.03 eV per atom. For the mass density, the calculation gives 12.02 g/cm3. The calculation puts the electronic total energy at -42.10 eV for the cell shown. For the size of the total moment, the calculation gives 0.00 μB per formula unit.

The structure belongs to space group P-3m1 (No. 164); the cell edges are 5.8443, 5.8443 and 10.0943 Å and the angles 90.00°, 90.00° and 120.00°. The distinct sites, in fractional coordinates, are In at (0.0000, 0.0000, 0.0000), Sb at (0.3333, 0.6667, 0.5490), Pb at (0.0000, 0.0000, 0.5000), Pb at (0.3333, 0.6667, 0.0811) and Au at (0.1677, 0.3354, 0.7750).

(3)
# InSb2Pb2Au7

A geometry-optimized InSb2Pb2Au7 structure (PBE, Alexandria).

The value obtained for the density of states at the Fermi level is 4.69 states/eV/f.u. The value obtained for the formation energy without anion corrections is -0.04 eV per atom. For the mass density, the calculation gives 12.65 g/cm3. The calculation puts the electronic total energy at -83.60 eV for the cell shown. For the size of the total moment, the calculation gives 0.00 μB per formula unit.

The structure belongs to space group C2/m (No. 12); the cell edges are 6.9458, 5.7292 and 14.2110 Å and the angles 90.00°, 92.50° and 90.00°. The distinct sites, in fractional coordinates, are In at (0.0000, 0.0000, 0.0000), Sb at (0.0391, 0.5000, 0.2595), Pb at (0.0654, 0.0000, 0.3767), Au at (0.0000, 0.5000, 0.0000), Au at (0.1778, 0.5000, 0.4561) and Au at (0.2283, 0.2511, 0.8601).

(4)
# In2SbPbAu4

A geometry-optimized In2SbPbAu4 structure (PBE, Alexandria).

The value obtained for the density of states at the Fermi level is 3.64 states/eV/f.u. The value obtained for the formation energy without anion corrections is -0.08 eV per atom. For the mass density, the calculation gives 11.58 g/cm3. The calculation puts the electronic total energy at -108.34 eV for the cell shown. For the size of the total moment, the calculation gives 0.00 μB per formula unit.

The structure belongs to space group Fmm2 (No. 42); the cell edges are 9.1828, 11.5128 and 7.3056 Å and the angles 90.00°, 90.00° and 90.00°. The distinct sites, in fractional coordinates, are In at (0.2500, 0.2500, 0.0000), Sb at (0.0000, 0.0000, 0.2481), Pb at (0.0000, 0.0000, 0.7470), Au at (0.0000, 0.2445, 0.2500) and Au at (0.2505, 0.0000, 0.4980).

(5)
# InSiPb2Au6

A geometry-optimized InSiPb2Au6 structure (PBE, Alexandria).

The value obtained for the density of states at the Fermi level is 2.98 states/eV/f.u. The value obtained for the formation energy without anion corrections is -0.05 eV per atom. For the mass density, the calculation gives 12.39 g/cm3. The calculation puts the electronic total energy at -71.54 eV for the cell shown. For the size of the total moment, the calculation gives 0.00 μB per formula unit.

The structure belongs to space group Pmmn (No. 59, origin choice 2); the cell edges are 5.6835, 9.1170 and 8.9940 Å and the angles 90.00°, 90.00° and 90.00°. The distinct sites, in fractional coordinates, are In at (0.2500, 0.2500, 0.2147), Si at (0.2500, 0.7500, 0.2680), Pb at (0.2500, 0.5141, 0.7846), Au at (0.9997, 0.2500, 0.9547), Au at (0.0042, 0.2500, 0.4933) and Au at (0.2500, 0.5052, 0.3855).

(6)
# InSi2Pb2Au7

A geometry-optimized InSi2Pb2Au7 structure (PBE, Alexandria).

The value obtained for the density of states at the Fermi level is 4.07 states/eV/f.u. The value obtained for the formation energy without anion corrections is -0.04 eV per atom. For the mass density, the calculation gives 12.74 g/cm3. The calculation puts the electronic total energy at -88.83 eV for the cell shown. For the size of the total moment, the calculation gives 0.00 μB per formula unit.

The structure belongs to space group C2/m (No. 12); the cell edges are 6.2325, 6.0598 and 13.7141 Å and the angles 90.00°, 98.67° and 90.00°. The distinct sites, in fractional coordinates, are In at (0.0000, 0.0000, 0.0000), Si at (0.0814, 0.5000, 0.2484), Pb at (0.0926, 0.0000, 0.3667), Au at (0.0000, 0.5000, 0.0000), Au at (0.1312, 0.5000, 0.4280) and Au at (0.2000, 0.2510, 0.8434).